First-principles (PBE-GGA) data for a relaxed Sb2OsIN crystal, as listed in Alexandria.

a b c (Å): 5.055 5.055 5.948
angles (deg): 90.00 90.00 90.00
Space group P4/mmm (No. 123)
Symmetry-distinct sites (fractional):
Sb: 0.000 0.500 0.000 [2 per cell]
Os: 0.000 0.000 0.000 [1 per cell]
I: 0.000 0.000 0.500 [1 per cell]
N: 0.500 0.500 0.500 [1 per cell]

Energy relative to the elements, uncorrected = 1518 meV per atom
Distance to the lowest polymorph of the same formula = 0.142 eV/atom
Density of states at the Fermi level = 3.0 states/eV/cell
Calculated density = 6.28 g/cm³

First-principles (PBE-GGA) data for a relaxed Ba2MgMnRu crystal, as listed in Alexandria.

a b c (Å): 5.979 5.979 4.878
angles (deg): 90.00 90.00 90.00
Space group P4/mmm (No. 123)
Symmetry-distinct sites (fractional):
Ba: 0.000 0.500 0.000 [2 per cell]
Mg: 0.000 0.000 0.500 [1 per cell]
Mn: 0.500 0.500 0.500 [1 per cell]
Ru: 0.500 0.500 0.000 [1 per cell]

Energy relative to the elements = 0.46 eV/atom
Density of states at the Fermi level = 5.1 states/eV/cell
Calculated density = 4.33 g/cm³

First-principles (PBE-GGA) data for a relaxed LiY2TlSe4 crystal, as listed in Alexandria.

a b c (Å): 4.180 13.974 14.675
angles (deg): 90.00 90.00 90.00
Space group Cmcm (No. 63)
Symmetry-distinct sites (fractional):
Li: 0.000 0.169 0.250 [4 per cell]
Y: 0.000 0.366 0.562 [8 per cell]
Tl: 0.000 0.105 0.750 [4 per cell]
Se: 0.000 0.000 0.000 [4 per cell]
Se: 0.000 0.265 0.108 [8 per cell]
Se: 0.000 0.429 0.750 [4 per cell]

Energy relative to the elements, uncorrected = -1517 meV per atom
Calculated density = 5.46 g/cm³

First-principles (PBE-GGA) data for a relaxed Rb3ErCr2S6 crystal, as listed in Alexandria.

a b c (Å): 6.578 11.390 7.863
angles (deg): 90.00 106.29 90.00
Space group C2/m (No. 12)
Symmetry-distinct sites (fractional):
Rb: 0.000 0.000 0.000 [2 per cell]
Rb: 0.000 0.338 0.000 [4 per cell]
Er: 0.000 0.500 0.500 [2 per cell]
Cr: 0.000 0.167 0.500 [4 per cell]
S: 0.199 0.000 0.675 [4 per cell]
S: 0.239 0.320 0.677 [8 per cell]

Energy relative to the elements, uncorrected = -1167 meV per atom
Calculated density = 4.23 g/cm³

First-principles (PBE-GGA) data for a relaxed PuNbAl crystal, as listed in Alexandria.

a b c (Å): 6.463 6.463 6.463
angles (deg): 90.00 90.00 90.00
Space group P2_13 (No. 198)
Symmetry-distinct sites (fractional):
Pu: 0.137 0.363 0.637 [4 per cell]
Nb: 0.004 0.504 0.996 [4 per cell]
Al: 0.193 0.193 0.193 [4 per cell]

Energy relative to the elements = 0.51 eV/atom
Distance to the lowest polymorph of the same formula = 0.547 eV/atom
Density of states at the Fermi level = 27.9 states/eV/cell
Calculated density = 8.95 g/cm³

First-principles (PBE-GGA) data for a relaxed Rh8Au crystal, as listed in Alexandria.

a b c (Å): 8.244 8.244 3.863
angles (deg): 90.00 90.00 90.00
Space group I4/mmm (No. 139)
Symmetry-distinct sites (fractional):
Rh: 0.000 0.338 0.000 [8 per cell]
Rh: 0.172 0.172 0.500 [8 per cell]
Au: 0.000 0.000 0.000 [2 per cell]

Energy relative to the elements = 0.08 eV/atom
Density of states at the Fermi level = 27.6 states/eV/cell
Calculated density = 12.91 g/cm³

Q: calculated density of number 3 (LiY2TlSe4)?
A: 5.46 g/cm³

Q: Look up the calculated density of the sixth one.
A: 12.91 g/cm³